Entry 1:
Compound: PrTcBi
Source: Alexandria via LeMat-Bulk
Functional: PBE
Structure: optimized geometry

Computed properties:
As for the space group: P-1 (2). Its calculated formation energy is -24 kJ/mol of formula units.

Unit cell a=3.282 b=4.644 c=15.442 alpha=97.09 beta=101.85 gamma=45.26
Fractional positions:
Tc: 0.649 0.581 0.680
Bi: 0.283 0.627 0.349
Tc: 0.730 0.070 0.753
Pr: 0.898 0.550 0.906
Bi: 0.096 0.024 0.084
Pr: 0.482 0.101 0.527



Entry 2:
Compound: TcHg2Sb
Source: Alexandria via LeMat-Bulk
Functional: PBE
Structure: optimized geometry

Computed properties:
As for the space group: C2/m (12). The calculation puts the raw formation energy at 2.1 eV/f.u.

Unit cell a=4.708 b=6.211 c=3.339 alpha=72.53 beta=94.76 gamma=113.66
Last column: magnetic moment on the atom in μB.
Fractional positions:
Hg: 0.000 0.000 0.000  0.00
Hg: 0.500 0.000 0.500  0.00
Sb: 0.000 0.500 0.500  -0.01
Tc: 0.500 0.500 0.000  0.67



Entry 3:
Compound: CaLaGa
Source: Alexandria via LeMat-Bulk
Functional: PBE
Structure: optimized geometry

Computed properties:
As for the space group: P6_3/mmc (194). Its calculated formation energy is 81 kJ/mol of formula units.

Unit cell a=5.102 b=5.102 c=11.646 alpha=90.00 beta=90.00 gamma=120.00
Fractional positions:
Ca: 0.667 0.333 0.750
Ga: 0.000 0.000 0.250
La: 0.000 0.000 0.500
Ca: 0.333 0.667 0.250
Ga: 0.000 0.000 0.750
La: 0.000 0.000 0.000



Entry 4:
Compound: PmYSe
Source: Alexandria via LeMat-Bulk
Functional: PBE
Structure: optimized geometry

Computed properties:
As for the space group: P3m1 (156). The calculation puts the raw formation energy at -3.4 eV/f.u.

Unit cell a=3.919 b=3.919 c=6.641 alpha=90.00 beta=90.00 gamma=120.00
Last column: magnetic moment on the atom in μB.
Fractional positions:
Se: 0.667 0.333 0.339  0.00
Pm: 0.000 0.000 0.054  0.14
Y: 0.333 0.667 0.607  -0.14